Entry 1:
VASP calculation (PBE) on Na2LiAlH6 after structural relaxation.

* DFT total energy: -3.08 eV/atom

POSCAR file:
```
Na2LiAlH6
1.0
5.161 0.000 0.000
0.000 5.149 0.001
0.000 5.153 7.299
Na H Al Li
4 12 2 2
direct
0.516 0.748 0.250
0.016 0.252 0.250
0.984 0.748 0.750
0.484 0.252 0.750
0.009 0.181 0.763
0.491 0.181 0.263
0.732 0.235 0.971
0.991 0.819 0.237
0.768 0.235 0.471
0.292 0.296 0.471
0.708 0.704 0.529
0.792 0.704 0.029
0.232 0.765 0.529
0.509 0.819 0.737
0.208 0.296 0.971
0.268 0.765 0.029
0.000 0.000 0.000
0.500 0.000 0.500
0.500 0.500 0.000
0.000 0.500 0.500
```



Entry 2:
VASP calculation (PBE) on Na2LiAlH6 after structural relaxation.

* DFT total energy: -3.08 eV/atom

POSCAR file:
```
Na2LiAlH6
1.0
-2.787 -2.458 -3.555
2.293 -3.288 -3.223
-0.855 -5.050 0.464
H Na Li Al
6 2 1 1
direct
0.289 0.187 0.764
0.236 0.711 0.813
0.813 0.236 0.711
0.187 0.764 0.289
0.764 0.289 0.187
0.711 0.813 0.236
0.750 0.750 0.750
0.250 0.250 0.250
0.500 0.500 0.500
0.000 0.000 0.000
```



Entry 3:
VASP calculation (PBE) on NaLiAlH2 after structural relaxation.

* DFT total energy: -2.39 eV/atom

POSCAR file:
```
NaLiAlH2
1.0
-2.036 -2.304 -2.201
2.477 0.498 -2.813
2.877 -4.244 1.782
Na Li H Al
1 1 2 1
direct
0.500 0.500 0.500
0.000 0.000 0.500
0.000 0.500 0.000
0.500 0.000 0.000
0.000 0.000 0.000
```



Entry 4:
VASP calculation (PBE) on Na2LiAlP2H2O9 after structural relaxation.

* DFT total energy: -6.35 eV/atom

POSCAR file:
```
Na2LiAlP2H2O9
1.0
7.025 0.000 0.000
0.000 14.188 0.000
0.000 0.000 14.373
Al Li H O P Na
8 8 16 72 16 16
direct
0.000 0.250 0.497
0.000 0.500 0.000
0.000 0.000 0.500
0.000 0.750 0.003
0.000 0.000 0.000
0.000 0.250 0.997
0.000 0.500 0.500
0.000 0.750 0.503
0.260 0.128 0.125
0.740 0.628 0.375
0.740 0.128 0.625
0.260 0.872 0.375
0.260 0.372 0.625
0.740 0.872 0.875
0.260 0.628 0.875
0.740 0.372 0.125
0.427 0.373 0.302
0.800 0.624 0.560
0.200 0.624 0.060
0.573 0.373 0.802
0.427 0.127 0.802
0.573 0.627 0.698
0.800 0.124 0.440
0.800 0.876 0.060
0.427 0.627 0.198
0.573 0.873 0.198
0.573 0.127 0.302
0.200 0.876 0.560
0.427 0.873 0.698
0.800 0.376 0.940
0.200 0.124 0.940
0.200 0.376 0.440
0.276 0.131 0.738
0.184 0.289 0.905
0.809 0.382 0.255
0.837 0.542 0.903
0.887 0.625 0.507
0.113 0.125 0.993
0.480 0.871 0.911
0.517 0.377 0.363
0.113 0.375 0.493
0.184 0.789 0.095
0.191 0.118 0.255
0.837 0.958 0.403
0.827 0.721 0.905
0.827 0.779 0.405
0.173 0.221 0.595
0.276 0.869 0.762
0.837 0.458 0.597
0.887 0.375 0.993
0.184 0.711 0.595
0.184 0.211 0.405
0.480 0.129 0.589
0.483 0.377 0.863
0.113 0.875 0.507
0.827 0.279 0.595
0.520 0.371 0.589
0.809 0.618 0.245
0.806 0.531 0.091
0.194 0.531 0.591
0.480 0.371 0.089
0.806 0.469 0.409
0.837 0.042 0.097
0.724 0.131 0.238
0.806 0.969 0.591
0.816 0.789 0.595
0.194 0.969 0.091
0.806 0.031 0.909
0.887 0.875 0.007
0.520 0.629 0.911
0.173 0.279 0.095
0.483 0.123 0.363
0.809 0.118 0.755
0.276 0.631 0.262
0.520 0.129 0.089
0.173 0.779 0.905
0.163 0.958 0.903
0.194 0.469 0.909
0.816 0.211 0.905
0.816 0.711 0.095
0.517 0.123 0.863
0.163 0.542 0.403
0.887 0.125 0.493
0.113 0.625 0.007
0.194 0.031 0.409
0.163 0.458 0.097
0.827 0.221 0.095
0.816 0.289 0.405
0.724 0.369 0.738
0.191 0.882 0.245
0.480 0.629 0.411
0.276 0.369 0.238
0.520 0.871 0.411
0.163 0.042 0.597
0.191 0.382 0.755
0.724 0.631 0.762
0.483 0.877 0.137
0.517 0.877 0.637
0.173 0.721 0.405
0.483 0.623 0.637
0.724 0.869 0.262
0.809 0.882 0.745
0.191 0.618 0.745
0.517 0.623 0.137
0.257 0.380 0.855
0.721 0.870 0.370
0.721 0.630 0.870
0.279 0.870 0.870
0.721 0.370 0.630
0.743 0.880 0.645
0.257 0.620 0.645
0.279 0.370 0.130
0.279 0.630 0.370
0.279 0.130 0.630
0.257 0.880 0.145
0.721 0.130 0.130
0.257 0.120 0.355
0.743 0.620 0.145
0.743 0.120 0.855
0.743 0.380 0.355
0.500 0.000 0.000
0.500 0.500 0.000
0.000 0.750 0.250
0.500 0.500 0.500
0.947 0.000 0.250
0.053 0.000 0.750
0.000 0.750 0.750
0.947 0.500 0.750
0.500 0.250 0.979
0.500 0.750 0.021
0.500 0.750 0.521
0.000 0.250 0.250
0.053 0.500 0.250
0.500 0.000 0.500
0.000 0.250 0.750
0.500 0.250 0.479
```